First-principles (GGA-PBE) data for an optimized crystal structure of Dy2Ho2Zn3, as listed in Alexandria.

```
7
Lattice="4.314 -2.500 0.000 4.314 2.500 0.000 -2.864 0.000 8.053" Properties=species:S:1:pos:R:3 pbc="T T T"
Dy 0.008 0.000 3.072
Dy 5.756 0.000 4.981
Ho 2.879 0.000 1.090
Ho 2.885 0.000 6.962
Zn 0.000 0.000 0.000
Zn 0.000 0.000 6.102
Zn 5.764 0.000 1.950
```

Calculated values
formation energy from the elements: -19 kJ/mol of atoms
M_tot: 0.00 Bohr magnetons per cell
symmetry: C2/m
raw total energy: -3.37 eV/atom
volume: 24.810 A^3/atom